No. 1
Ce3Ir2Pd: relaxed, PBE.

The structure in CIF format:
```
data_Ce3Ir2Pd
_chemical_formula_sum 'Ce12 Ir8 Pd4'
_cell_length_a 12.871
_cell_length_b 5.741
_cell_length_c 8.124
_cell_angle_alpha 90.00
_cell_angle_beta 108.42
_cell_angle_gamma 90.00
_symmetry_space_group_name_H-M 'C 1 2/c 1'
_symmetry_Int_Tables_number 15
loop_
_symmetry_equiv_pos_as_xyz
'x,y,z'
'-x,-y,-z'
'-x,y,-z+1/2'
'x,-y,z+1/2'
'x+1/2,y+1/2,z'
'-x+1/2,-y+1/2,-z'
'-x+1/2,y+1/2,-z+1/2'
'x+1/2,-y+1/2,z+1/2'
loop_
_atom_site_label
_atom_site_type_symbol
_atom_site_fract_x
_atom_site_fract_y
_atom_site_fract_z
Ce1 Ce 0.000 0.001 0.250
Ce2 Ce 0.176 0.500 0.088
Ir1 Ir 0.163 0.000 0.081
Pd1 Pd 0.000 0.499 0.750
```

Computed properties:
Energy of formation from the pure elements ... -414 kJ/mol of formula units
Crystal system ... monoclinic
E ... -7.50 eV per atom

No. 2
Ce4Ir2Pd: relaxed, PBE.

The structure in CIF format:
```
data_Ce4Ir2Pd
_chemical_formula_sum 'Ce8 Ir4 Pd2'
_cell_length_a 14.190
_cell_length_b 4.209
_cell_length_c 7.226
_cell_angle_alpha 90.00
_cell_angle_beta 119.73
_cell_angle_gamma 90.00
_symmetry_space_group_name_H-M 'C 1 2/m 1'
_symmetry_Int_Tables_number 12
loop_
_symmetry_equiv_pos_as_xyz
'x,y,z'
'-x,-y,-z'
'-x,y,-z'
'x,-y,z'
'x+1/2,y+1/2,z'
'-x+1/2,-y+1/2,-z'
'-x+1/2,y+1/2,-z'
'x+1/2,-y+1/2,z'
loop_
_atom_site_label
_atom_site_type_symbol
_atom_site_fract_x
_atom_site_fract_y
_atom_site_fract_z
Ce1 Ce 0.123 0.000 0.316
Ce2 Ce 0.138 0.500 0.784
Ir1 Ir 0.235 0.500 0.238
Pd1 Pd 0.000 0.500 0.000
```

Computed properties:
Energy of formation from the pure elements ... -396 kJ/mol of formula units
Crystal system ... monoclinic
E ... -7.25 eV per atom

No. 3
Ce6Ir2Pd: relaxed, PBE.

The structure in CIF format:
```
data_Ce6Ir2Pd
_chemical_formula_sum 'Ce12 Ir4 Pd2'
_cell_length_a 6.386
_cell_length_b 7.357
_cell_length_c 11.555
_cell_angle_alpha 90.00
_cell_angle_beta 121.93
_cell_angle_gamma 90.00
_symmetry_space_group_name_H-M 'P 1 21/c 1'
_symmetry_Int_Tables_number 14
loop_
_symmetry_equiv_pos_as_xyz
'x,y,z'
'-x,-y,-z'
'-x,y+1/2,-z+1/2'
'x,-y+1/2,z+1/2'
loop_
_atom_site_label
_atom_site_type_symbol
_atom_site_fract_x
_atom_site_fract_y
_atom_site_fract_z
Ce1 Ce 0.066 0.193 0.425
Ce2 Ce 0.285 0.644 0.445
Ce3 Ce 0.398 0.050 0.233
Ir1 Ir 0.161 0.125 0.721
Pd1 Pd 0.500 0.000 0.500
```

Computed properties:
Energy of formation from the pure elements ... -369 kJ/mol of formula units
Crystal system ... monoclinic
E ... -6.93 eV per atom

No. 4
Ce6IrPd3: relaxed, PBE.

The structure in CIF format:
```
data_Ce6IrPd3
_chemical_formula_sum 'Ce12 Ir2 Pd6'
_cell_length_a 5.284
_cell_length_b 7.968
_cell_length_c 12.670
_cell_angle_alpha 90.00
_cell_angle_beta 112.22
_cell_angle_gamma 90.00
_symmetry_space_group_name_H-M 'P 1 21/c 1'
_symmetry_Int_Tables_number 14
loop_
_symmetry_equiv_pos_as_xyz
'x,y,z'
'-x,-y,-z'
'-x,y+1/2,-z+1/2'
'x,-y+1/2,z+1/2'
loop_
_atom_site_label
_atom_site_type_symbol
_atom_site_fract_x
_atom_site_fract_y
_atom_site_fract_z
Ce1 Ce 0.011 0.182 0.074
Ce2 Ce 0.343 0.523 0.248
Ce3 Ce 0.376 0.125 0.399
Ir1 Ir 0.000 0.000 0.500
Pd1 Pd 0.111 0.638 0.698
Pd2 Pd 0.500 0.000 0.000
```

Computed properties:
Energy of formation from the pure elements ... -447 kJ/mol of formula units
Crystal system ... monoclinic
E ... -6.47 eV per atom

No. 5
Ce7Ir2Pd2: relaxed, PBE.

The structure in CIF format:
```
data_Ce7Ir2Pd2
_chemical_formula_sum 'Ce14 Ir4 Pd4'
_cell_length_a 7.687
_cell_length_b 10.536
_cell_length_c 6.932
_cell_angle_alpha 90.00
_cell_angle_beta 90.00
_cell_angle_gamma 90.00
_symmetry_space_group_name_H-M 'C m m m'
_symmetry_Int_Tables_number 65
_symmetry_space_group_name_Hall '-C 2 2'
loop_
_atom_site_label
_atom_site_type_symbol
_atom_site_fract_x
_atom_site_fract_y
_atom_site_fract_z
Ce1 Ce 0.000 0.000 0.000
Ce2 Ce 0.000 0.500 0.296
Ce3 Ce 0.250 0.250 0.301
Ir1 Ir 0.168 0.000 0.500
Pd1 Pd 0.000 0.293 0.000
```

Computed properties:
Energy of formation from the pure elements ... -327 kJ/mol of formula units
Crystal system ... orthorhombic
E ... -6.64 eV per atom

No. 6
Ce5Ir2Pd: relaxed, PBE.

The structure in CIF format:
```
data_Ce5Ir2Pd
_chemical_formula_sum 'Ce20 Ir8 Pd4'
_cell_length_a 5.524
_cell_length_b 12.241
_cell_length_c 12.992
_cell_angle_alpha 90.00
_cell_angle_beta 90.00
_cell_angle_gamma 90.00
_symmetry_space_group_name_H-M 'C m c m'
_symmetry_Int_Tables_number 63
_symmetry_space_group_name_Hall '-C 2c 2'
loop_
_atom_site_label
_atom_site_type_symbol
_atom_site_fract_x
_atom_site_fract_y
_atom_site_fract_z
Ce1 Ce 0.000 0.050 0.139
Ce2 Ce 0.000 0.252 0.750
Ce3 Ce 0.000 0.355 0.070
Ir1 Ir 0.000 0.160 0.552
Pd1 Pd 0.000 0.488 0.750
```

Computed properties:
Energy of formation from the pure elements ... -354 kJ/mol of formula units
Crystal system ... orthorhombic
E ... -7.03 eV per atom

No. 7
Ce6Ir3Pd: relaxed, PBE.

The structure in CIF format:
```
data_Ce6Ir3Pd
_chemical_formula_sum 'Ce12 Ir6 Pd2'
_cell_length_a 6.977
_cell_length_b 7.449
_cell_length_c 12.100
_cell_angle_alpha 90.00
_cell_angle_beta 122.49
_cell_angle_gamma 90.00
_symmetry_space_group_name_H-M 'P 1 21/c 1'
_symmetry_Int_Tables_number 14
loop_
_symmetry_equiv_pos_as_xyz
'x,y,z'
'-x,-y,-z'
'-x,y+1/2,-z+1/2'
'x,-y+1/2,z+1/2'
loop_
_atom_site_label
_atom_site_type_symbol
_atom_site_fract_x
_atom_site_fract_y
_atom_site_fract_z
Ce1 Ce 0.061 0.078 0.246
Ce2 Ce 0.255 0.678 0.093
Ce3 Ce 0.393 0.168 0.067
Ir1 Ir 0.000 0.000 0.000
Ir2 Ir 0.315 0.111 0.782
Pd1 Pd 0.500 0.000 0.500
```

Computed properties:
Energy of formation from the pure elements ... -510 kJ/mol of formula units
Crystal system ... monoclinic
E ... -7.27 eV per atom

No. 8
Ce4IrPd: relaxed, PBE.

The structure in CIF format:
```
data_Ce4IrPd
_chemical_formula_sum 'Ce16 Ir4 Pd4'
_cell_length_a 7.820
_cell_length_b 14.253
_cell_length_c 6.893
_cell_angle_alpha 90.00
_cell_angle_beta 124.49
_cell_angle_gamma 90.00
_symmetry_space_group_name_H-M 'C 1 2/c 1'
_symmetry_Int_Tables_number 15
loop_
_symmetry_equiv_pos_as_xyz
'x,y,z'
'-x,-y,-z'
'-x,y,-z+1/2'
'x,-y,z+1/2'
'x+1/2,y+1/2,z'
'-x+1/2,-y+1/2,-z'
'-x+1/2,y+1/2,-z+1/2'
'x+1/2,-y+1/2,z+1/2'
loop_
_atom_site_label
_atom_site_type_symbol
_atom_site_fract_x
_atom_site_fract_y
_atom_site_fract_z
Ce1 Ce 0.241 0.056 0.243
Ce2 Ce 0.244 0.233 0.753
Ir1 Ir 0.000 0.090 0.750
Pd1 Pd 0.000 0.406 0.250
```

Computed properties:
Energy of formation from the pure elements ... -211 kJ/mol of formula units
Crystal system ... monoclinic
E ... -6.66 eV per atom

No. 9
CePmIrPd: relaxed, PBE.

The structure in CIF format:
```
data_CePmIrPd
_chemical_formula_sum 'Ce2 Pm2 Ir2 Pd2'
_cell_length_a 4.153
_cell_length_b 3.878
_cell_length_c 11.527
_cell_angle_alpha 90.00
_cell_angle_beta 90.00
_cell_angle_gamma 90.00
_symmetry_space_group_name_H-M 'A m m 2'
_symmetry_Int_Tables_number 38
loop_
_symmetry_equiv_pos_as_xyz
'x,y,z'
'-x,-y,z'
'-x,y,z'
'x,-y,z'
'x,y+1/2,z+1/2'
'-x,-y+1/2,z+1/2'
'-x,y+1/2,z+1/2'
'x,-y+1/2,z+1/2'
loop_
_atom_site_label
_atom_site_type_symbol
_atom_site_fract_x
_atom_site_fract_y
_atom_site_fract_z
Ce1 Ce 0.000 0.000 0.000
Pm1 Pm 0.500 0.000 0.276
Ir1 Ir 0.500 0.000 0.533
Pd1 Pd 0.000 0.000 0.714
```

Computed properties:
Excess energy over the best structure of this formula in the dataset ... 0.00 eV per formula unit
Energy of formation from the pure elements ... -305 kJ/mol of formula units
Crystal system ... orthorhombic
E ... -6.98 eV per atom

No. 10
CePmIrPd: relaxed, PBE.

The structure in CIF format:
```
data_CePmIrPd
_chemical_formula_sum 'Ce4 Pm4 Ir4 Pd4'
_cell_length_a 7.092
_cell_length_b 7.092
_cell_length_c 7.092
_cell_angle_alpha 90.00
_cell_angle_beta 90.00
_cell_angle_gamma 90.00
_symmetry_space_group_name_H-M 'F -4 3 m'
_symmetry_Int_Tables_number 216
_symmetry_space_group_name_Hall 'F -4 2 3'
loop_
_atom_site_label
_atom_site_type_symbol
_atom_site_fract_x
_atom_site_fract_y
_atom_site_fract_z
Ce1 Ce 0.000 0.000 0.000
Pm1 Pm 0.000 0.000 0.500
Ir1 Ir 0.250 0.250 0.750
Pd1 Pd 0.250 0.250 0.250
```

Computed properties:
Excess energy over the best structure of this formula in the dataset ... 0.45 eV per formula unit
Energy of formation from the pure elements ... -262 kJ/mol of formula units
Crystal system ... cubic
E ... -6.86 eV per atom